Density functional theory data (PBE-GGA) for crystalline PmTm2ScS4 at its relaxed geometry.

Cell: 6.691 3.824 6.739 Å, 90.00 108.97 90.00°
Fractional positions:
Pm1 0.000 0.000 0.000
Tm1 0.500 0.000 0.500
Tm2 0.500 0.500 0.000
Sc1 0.000 0.500 0.500
S1 0.250 0.000 0.739
S2 0.259 0.500 0.265
S3 0.741 0.500 0.735
S4 0.750 0.000 0.261

Formation energy from raw total energies (meV per atom): -1916


Density functional theory data (PBE-GGA) for crystalline PrCu2Br6 at its relaxed geometry.

Cell: 9.690 9.690 6.915 Å, 97.88 97.88 80.73°
Fractional positions:
Pr1 0.108 0.892 0.750
Pr2 0.892 0.108 0.250
Cu1 0.305 0.445 0.754
Cu2 0.445 0.305 0.254
Cu3 0.555 0.695 0.746
Cu4 0.695 0.555 0.246
Br1 0.047 0.182 0.631
Br2 0.127 0.614 0.881
Br3 0.182 0.047 0.131
Br4 0.282 0.466 0.413
Br5 0.386 0.873 0.619
Br6 0.466 0.282 0.913
Br7 0.534 0.718 0.087
Br8 0.614 0.127 0.381
Br9 0.718 0.534 0.587
Br10 0.818 0.953 0.869
Br11 0.873 0.386 0.119
Br12 0.953 0.818 0.369

Formation energy from raw total energies (meV per atom): -960


Density functional theory data (PBE-GGA) for crystalline Cs2ZrCrCl6 at its relaxed geometry.

Cell: 7.448 7.448 7.448 Å, 60.00 60.00 60.00°
Fractional positions:
Cs1 0.250 0.250 0.250
Cs2 0.750 0.750 0.750
Zr1 0.000 0.000 0.000
Cr1 0.500 0.500 0.500
Cl1 0.246 0.246 0.754
Cl2 0.246 0.754 0.246
Cl3 0.246 0.754 0.754
Cl4 0.754 0.246 0.246
Cl5 0.754 0.246 0.754
Cl6 0.754 0.754 0.246

Formation energy from raw total energies (meV per atom): -1503


Density functional theory data (PBE-GGA) for crystalline AgSbMo at its relaxed geometry.

Cell: 7.455 7.455 7.455 Å, 156.95 156.95 32.82°
Fractional positions:
Ag1 0.000 0.000 0.000
Sb1 0.720 0.720 0.000
Mo1 0.362 0.362 0.000

Formation energy from raw total energies (meV per atom): 549


Density functional theory data (PBE-GGA) for crystalline Cr2MoPt at its relaxed geometry.

Cell: 2.638 2.638 8.233 Å, 90.00 90.00 104.70°
Fractional positions:
Cr1 0.000 0.000 0.000
Cr2 0.500 0.500 0.222
Mo1 0.500 0.500 0.747
Pt1 0.000 0.000 0.471

Formation enthalpy at 0 K (eV/atom): 0.069


Density functional theory data (PBE-GGA) for crystalline MnSnTe3 at its relaxed geometry.

Cell: 5.657 5.657 5.657 Å, 90.00 90.00 90.00°
Fractional positions:
Mn1 0.000 0.000 0.000
Sn1 0.500 0.500 0.500
Te1 0.000 0.500 0.500
Te2 0.500 0.000 0.500
Te3 0.500 0.500 0.000

Formation energy from raw total energies (meV per atom): 721


Density functional theory data (PBE-GGA) for crystalline TlInOs2 at its relaxed geometry.

Cell: 4.914 4.914 5.718 Å, 106.00 106.00 35.36°
Fractional positions:
Tl1 0.000 0.000 0.000
In1 0.500 0.500 0.500
Os1 0.256 0.256 0.695
Os2 0.744 0.744 0.305

Formation enthalpy at 0 K (eV/atom): 0.850


Density functional theory data (PBE-GGA) for crystalline TeMo2 at its relaxed geometry.

Cell: 5.791 4.559 8.074 Å, 90.00 90.00 90.00°
Fractional positions:
Te1 0.187 0.250 0.092
Te2 0.313 0.750 0.592
Te3 0.687 0.250 0.408
Te4 0.813 0.750 0.908
Mo1 0.000 0.250 0.775
Mo2 0.000 0.750 0.225
Mo3 0.146 0.250 0.434
Mo4 0.354 0.750 0.934
Mo5 0.500 0.250 0.725
Mo6 0.500 0.750 0.275
Mo7 0.646 0.250 0.066
Mo8 0.854 0.750 0.566

Formation energy from raw total energies (meV per atom): 470